First-principles (PBE-GGA) data for Ac5YEr after structural relaxation, as listed in the Alexandria database. Values from VASP.

```
&SYSTEM
  ibrav = 0, nat = 14, ntyp = 3
/
ATOMIC_SPECIES
Ac 227.00 Ac.upf
Y 88.91 Y.upf
Er 167.26 Er.upf
CELL_PARAMETERS angstrom
3.3259 -9.2928 0.0000
3.3259 9.2928 0.0000
-2.5585 0.0000 9.6275
ATOMIC_POSITIONS crystal
Ac 0.0177 0.3864 0.6458
Ac 0.1346 0.8654 0.7500
Ac 0.2500 0.5359 0.0357
Ac 0.3864 0.0177 0.1458
Ac 0.4641 0.7500 0.4643
Ac 0.5359 0.2500 0.5357
Ac 0.6136 0.9823 0.8542
Ac 0.7500 0.4641 0.9643
Ac 0.8654 0.1346 0.2500
Ac 0.9823 0.6136 0.3542
Y 0.0000 0.0000 0.0000
Y 0.0000 0.0000 0.5000
Er 0.4847 0.5153 0.7500
Er 0.5153 0.4847 0.2500
```

Results
formation energy	0.222	eV/atom
DOS at the Fermi energy	10.88	states/eV/f.u.
total DFT energy (no corrections)	-60.0	eV for the cell shown
calculated volume	42.508	A^3/atom
magnetization	0.00	μB per cell
SG	No. 15

First-principles (PBE-GGA) data for PrMn2AgSe4 after structural relaxation, as listed in the Alexandria database. Values from VASP.

```
&SYSTEM
  ibrav = 0, nat = 16, ntyp = 4
/
ATOMIC_SPECIES
Pr 140.91 Pr.upf
Mn 54.94 Mn.upf
Ag 107.87 Ag.upf
Se 78.96 Se.upf
CELL_PARAMETERS angstrom
2.0656 -7.2818 0.0000
2.0656 7.2818 0.0000
0.0000 0.0000 12.6545
ATOMIC_POSITIONS crystal
Pr 0.1079 0.8921 0.7500
Pr 0.8921 0.1079 0.2500
Mn 0.3913 0.6087 0.5555
Mn 0.3913 0.6087 0.9445
Mn 0.6087 0.3913 0.0555
Mn 0.6087 0.3913 0.4445
Ag 0.1646 0.8354 0.2500
Ag 0.8354 0.1646 0.7500
Se 0.0000 0.0000 0.0000
Se 0.0000 0.0000 0.5000
Se 0.3003 0.6997 0.1108
Se 0.3003 0.6997 0.3892
Se 0.4501 0.5499 0.7500
Se 0.5499 0.4501 0.2500
Se 0.6997 0.3003 0.6108
Se 0.6997 0.3003 0.8892
```

Results
DOS at the Fermi energy	0.90	states/eV/f.u.
total DFT energy (no corrections)	-91.0	eV for the cell shown
calculated volume	23.792	A^3/atom
formation energy without anion corrections	-698	meV per atom
magnetization	19.76	μB per cell
SG	No. 63

First-principles (PBE-GGA) data for TiSbIr3 after structural relaxation, as listed in the Alexandria database. Values from VASP.

```
&SYSTEM
  ibrav = 0, nat = 5, ntyp = 3
/
ATOMIC_SPECIES
Ti 47.87 Ti.upf
Sb 121.76 Sb.upf
Ir 192.22 Ir.upf
CELL_PARAMETERS angstrom
4.6449 0.0000 0.0000
0.0000 4.6449 0.0000
0.0000 0.0000 4.6449
ATOMIC_POSITIONS crystal
Ti 0.0000 0.0000 0.0000
Sb 0.5000 0.5000 0.5000
Ir 0.0000 0.0000 0.5000
Ir 0.0000 0.5000 0.0000
Ir 0.5000 0.0000 0.0000
```

Results
excess energy over the best structure of this formula in the dataset	0	meV/atom
DOS at the Fermi energy	3.48	states/eV/f.u.
total DFT energy (no corrections)	-33.8	eV for the cell shown
calculated volume	20.043	A^3/atom
formation energy without anion corrections	961	meV per atom
magnetization	0.00	μB per cell
SG	No. 221

First-principles (PBE-GGA) data for Th3UP4 after structural relaxation, as listed in the Alexandria database. Values from VASP.

```
&SYSTEM
  ibrav = 0, nat = 16, ntyp = 3
/
ATOMIC_SPECIES
Th 232.04 Th.upf
U 238.03 U.upf
P 30.97 P.upf
CELL_PARAMETERS angstrom
7.1154 0.0000 0.0000
0.0000 8.1764 0.0000
-2.3562 0.0000 6.6828
ATOMIC_POSITIONS crystal
Th 0.0000 0.1254 0.2500
Th 0.0000 0.3752 0.7500
Th 0.0000 0.6248 0.2500
Th 0.0000 0.8746 0.7500
Th 0.5000 0.1265 0.7500
Th 0.5000 0.8735 0.2500
U 0.5000 0.3770 0.2500
U 0.5000 0.6230 0.7500
P 0.2553 0.1304 0.0060
P 0.2553 0.8696 0.5060
P 0.2598 0.3803 0.4990
P 0.2598 0.6197 0.9990
P 0.7402 0.3803 0.0010
P 0.7402 0.6197 0.5010
P 0.7447 0.1304 0.4940
P 0.7447 0.8696 0.9940
```

Results
formation energy	-1.387	eV/atom
DOS at the Fermi energy	9.44	states/eV/f.u.
total DFT energy (no corrections)	-132.6	eV for the cell shown
calculated volume	24.299	A^3/atom
magnetization	4.69	μB per cell
SG	No. 13

First-principles (PBE-GGA) data for ZnBRh2 after structural relaxation, as listed in the Alexandria database. Values from VASP.

```
&SYSTEM
  ibrav = 0, nat = 4, ntyp = 3
/
ATOMIC_SPECIES
Zn 65.41 Zn.upf
B 10.81 B.upf
Rh 102.91 Rh.upf
CELL_PARAMETERS angstrom
2.7664 0.0000 0.0000
0.0000 2.7664 0.0000
0.0000 0.0000 6.1963
ATOMIC_POSITIONS crystal
Zn 0.0000 0.0000 0.0000
B 0.0000 0.0000 0.5000
Rh 0.5000 0.5000 0.2916
Rh 0.5000 0.5000 0.7084
```

Results
formation energy	-0.257	eV/atom
excess energy over the best structure of this formula in the dataset	175	meV/atom
DOS at the Fermi energy	1.07	states/eV/f.u.
total DFT energy (no corrections)	-23.7	eV for the cell shown
calculated volume	11.855	A^3/atom
magnetization	0.00	μB per cell
SG	No. 123

First-principles (PBE-GGA) data for La2PmY5 after structural relaxation, as listed in the Alexandria database. Values from VASP.

```
&SYSTEM
  ibrav = 0, nat = 8, ntyp = 3
/
ATOMIC_SPECIES
La 138.91 La.upf
Pm 145.00 Pm.upf
Y 88.91 Y.upf
CELL_PARAMETERS angstrom
0.0000 5.8248 6.3376
3.6994 0.0000 6.3376
3.6994 5.8248 0.0000
ATOMIC_POSITIONS crystal
La 0.2503 0.7497 0.2503
La 0.7497 0.2503 0.7497
Pm 0.1706 0.1706 0.8294
Y 0.1697 0.6692 0.8303
Y 0.2517 0.2517 0.2483
Y 0.6692 0.1697 0.3308
Y 0.6700 0.6700 0.3300
Y 0.7517 0.7517 0.7483
```

Results
formation energy	0.025	eV/atom
excess energy over the best structure of this formula in the dataset	0	meV/atom
DOS at the Fermi energy	15.17	states/eV/f.u.
total DFT energy (no corrections)	-46.7	eV for the cell shown
calculated volume	34.141	A^3/atom
magnetization	0.00	μB per cell
SG	No. 42

First-principles (PBE-GGA) data for Tb4IrS3 after structural relaxation, as listed in the Alexandria database. Values from VASP.

```
&SYSTEM
  ibrav = 0, nat = 16, ntyp = 3
/
ATOMIC_SPECIES
Tb 158.93 Tb.upf
Ir 192.22 Ir.upf
S 32.06 S.upf
CELL_PARAMETERS angstrom
8.1032 0.0000 0.0000
0.0000 11.3336 0.0000
0.0000 0.0000 3.9324
ATOMIC_POSITIONS crystal
Tb 0.0000 0.2457 0.0000
Tb 0.0000 0.7543 0.0000
Tb 0.2406 0.0000 0.5000
Tb 0.2594 0.5000 0.5000
Tb 0.5000 0.2543 0.0000
Tb 0.5000 0.7457 0.0000
Tb 0.7406 0.5000 0.5000
Tb 0.7594 0.0000 0.5000
Ir 0.0000 0.0000 0.0000
Ir 0.5000 0.5000 0.0000
S 0.0000 0.5000 0.0000
S 0.2500 0.2500 0.5000
S 0.2500 0.7500 0.5000
S 0.5000 0.0000 0.0000
S 0.7500 0.2500 0.5000
S 0.7500 0.7500 0.5000
```

Results
DOS at the Fermi energy	5.90	states/eV/f.u.
total DFT energy (no corrections)	-106.2	eV for the cell shown
calculated volume	22.572	A^3/atom
formation energy without anion corrections	-1664	meV per atom
magnetization	0.00	μB per cell
SG	No. 65

First-principles (PBE-GGA) data for MgZr2Si after structural relaxation, as listed in the Alexandria database. Values from VASP.

```
&SYSTEM
  ibrav = 0, nat = 16, ntyp = 3
/
ATOMIC_SPECIES
Mg 24.30 Mg.upf
Zr 91.22 Zr.upf
Si 28.09 Si.upf
CELL_PARAMETERS angstrom
6.7779 0.0000 0.0000
0.0000 6.7779 0.0000
0.0000 0.0000 6.7779
ATOMIC_POSITIONS crystal
Mg 0.0000 0.0000 0.0000
Mg 0.0000 0.5000 0.5000
Mg 0.5000 0.0000 0.5000
Mg 0.5000 0.5000 0.0000
Zr 0.0000 0.0000 0.5000
Zr 0.0000 0.5000 0.0000
Zr 0.2500 0.2500 0.7500
Zr 0.2500 0.7500 0.2500
Zr 0.5000 0.0000 0.0000
Zr 0.5000 0.5000 0.5000
Zr 0.7500 0.2500 0.2500
Zr 0.7500 0.7500 0.7500
Si 0.2500 0.2500 0.2500
Si 0.2500 0.7500 0.7500
Si 0.7500 0.2500 0.7500
Si 0.7500 0.7500 0.2500
```

Results
DOS at the Fermi energy	3.72	states/eV/f.u.
total DFT energy (no corrections)	-94.1	eV for the cell shown
calculated volume	19.461	A^3/atom
formation energy without anion corrections	150	meV per atom
magnetization	0.00	μB per cell
SG	No. 216

- What is the total DFT energy (no corrections) in the third record?
  -33.8 eV for the cell shown